The following is a PBE calculation of a geometry-optimized Rb3Cr2H9 structure, from Alexandria.

Properties
Energy, eV per atom: -3.8113

Structure (CIF):
```
data_Rb3Cr2H9
_symmetry_space_group_name_H-M 'R -3 c'
_symmetry_Int_Tables_number 167
_symmetry_space_group_name_Hall '-R 3 2"c'
_cell_length_a 10.1524
_cell_length_b 10.1524
_cell_length_c 15.1365
_cell_angle_alpha 90.00
_cell_angle_beta 90.00
_cell_angle_gamma 120.00
loop_
_atom_site_label
_atom_site_type_symbol
_atom_site_fract_x
_atom_site_fract_y
_atom_site_fract_z
_atom_site_occupancy
Rb1 Rb 0.0000 0.3454 0.2500 1
Cr1 Cr 0.0000 0.0000 0.1647 1
H1 H 0.0000 0.1281 0.7500 1
H2 H 0.0032 0.1431 0.3952 1
```


The following is a PBE calculation of a geometry-optimized SrBeF structure, from Alexandria.

Properties
Energy, eV per atom: -3.8921
D(E_F), states/eV/cell: 2.1

Structure (CIF):
```
data_SrBeF
_symmetry_space_group_name_H-M 'I m m a'
_symmetry_Int_Tables_number 74
_symmetry_space_group_name_Hall '-I 2b 2'
_cell_length_a 3.956
_cell_length_b 7.747
_cell_length_c 8.012
_cell_angle_alpha 90.00
_cell_angle_beta 90.00
_cell_angle_gamma 90.00
loop_
_atom_site_label
_atom_site_type_symbol
_atom_site_fract_x
_atom_site_fract_y
_atom_site_fract_z
_atom_site_occupancy
Sr1 Sr 0.000 0.000 0.000 1
Be1 Be 0.000 0.250 0.305 1
F1 F 0.000 0.250 0.513 1
```


The following is a PBE calculation of a geometry-optimized CeHfHg structure, from Alexandria.

Properties
Energy, eV per atom: -5.1710
D(E_F), states/eV/cell: 5.7
ΔH_f (0 K), kJ per mole of atoms: 22

Structure (CIF):
```
data_CeHfHg
_symmetry_space_group_name_H-M 'P 3 m 1'
_symmetry_Int_Tables_number 156
_cell_length_a 5.1829
_cell_length_b 5.1829
_cell_length_c 3.0374
_cell_angle_alpha 90.00
_cell_angle_beta 90.00
_cell_angle_gamma 120.00
loop_
_symmetry_equiv_pos_as_xyz
'x,y,z'
'-y,x-y,z'
'-x+y,-x,z'
'-y,-x,z'
'-x+y,y,z'
'x,x-y,z'
loop_
_atom_site_label
_atom_site_type_symbol
_atom_site_fract_x
_atom_site_fract_y
_atom_site_fract_z
_atom_site_occupancy
Ce1 Ce 0.0000 0.0000 0.0000 1
Hf1 Hf 0.3333 0.6667 0.0022 1
Hg1 Hg 0.6667 0.3333 0.5001 1
```


The following is a PBE calculation of a geometry-optimized Tm3Ga2Ru structure, from Alexandria.

Properties
Energy, eV per atom: -5.3294
D(E_F), states/eV/cell: 19.3
ΔH_f (0 K), kJ per mole of atoms: -52

Structure (CIF):
```
data_Tm3Ga2Ru
_symmetry_space_group_name_H-M 'P n m a'
_symmetry_Int_Tables_number 62
_cell_length_a 11.732
_cell_length_b 4.260
_cell_length_c 10.873
_cell_angle_alpha 90.00
_cell_angle_beta 90.00
_cell_angle_gamma 90.00
loop_
_symmetry_equiv_pos_as_xyz
'x,y,z'
'-x,-y,-z'
'-x+1/2,-y,z+1/2'
'x+1/2,y,-z+1/2'
'x+1/2,-y+1/2,-z+1/2'
'-x+1/2,y+1/2,z+1/2'
'-x,y+1/2,-z'
'x,-y+1/2,z'
loop_
_atom_site_label
_atom_site_type_symbol
_atom_site_fract_x
_atom_site_fract_y
_atom_site_fract_z
_atom_site_occupancy
Tm1 Tm 0.052 0.250 0.120 1
Tm2 Tm 0.119 0.750 0.557 1
Tm3 Tm 0.233 0.250 0.796 1
Ga1 Ga 0.007 0.750 0.303 1
Ga2 Ga 0.194 0.750 0.998 1
Ru1 Ru 0.118 0.250 0.371 1
```


The following is a PBE calculation of a geometry-optimized HoTmPb structure, from Alexandria.

Properties
Energy, eV per atom: -4.5950
D(E_F), states/eV/cell: 7.2
ΔH_f (0 K), kJ per mole of atoms: -33

Structure (CIF):
```
data_HoTmPb
_symmetry_space_group_name_H-M 'I m m m'
_symmetry_Int_Tables_number 71
_symmetry_space_group_name_Hall '-I 2 2'
_cell_length_a 4.902
_cell_length_b 6.560
_cell_length_c 10.854
_cell_angle_alpha 90.00
_cell_angle_beta 90.00
_cell_angle_gamma 90.00
loop_
_atom_site_label
_atom_site_type_symbol
_atom_site_fract_x
_atom_site_fract_y
_atom_site_fract_z
_atom_site_occupancy
Ho1 Ho 0.000 0.000 0.172 1
Tm1 Tm 0.000 0.246 0.500 1
Pb1 Pb 0.000 0.500 0.159 1
```


The following is a PBE calculation of a geometry-optimized Mn3Tl6Cl14 structure, from Alexandria.

Properties
Energy, eV per atom: -3.9685
D(E_F), states/eV/cell: 0.9

Structure (CIF):
```
data_Mn3Tl6Cl14
_symmetry_space_group_name_H-M 'P 3'
_symmetry_Int_Tables_number 143
_cell_length_a 11.2951
_cell_length_b 11.2951
_cell_length_c 6.8197
_cell_angle_alpha 90.00
_cell_angle_beta 90.00
_cell_angle_gamma 120.00
loop_
_symmetry_equiv_pos_as_xyz
'x,y,z'
'-y,x-y,z'
'-x+y,-x,z'
loop_
_atom_site_label
_atom_site_type_symbol
_atom_site_fract_x
_atom_site_fract_y
_atom_site_fract_z
_atom_site_occupancy
Mn1 Mn 0.0000 0.0000 0.0000 1
Mn2 Mn 0.3333 0.6667 0.5037 1
Mn3 Mn 0.6667 0.3333 0.1505 1
Tl1 Tl 0.0539 0.4613 0.9364 1
Tl2 Tl 0.2844 0.2004 0.4257 1
Cl1 Cl 0.0000 0.0000 0.6564 1
Cl2 Cl 0.0792 0.2188 0.1396 1
Cl3 Cl 0.1787 0.7285 0.6354 1
Cl4 Cl 0.3333 0.6667 0.1581 1
Cl5 Cl 0.4773 0.2692 0.9596 1
Cl6 Cl 0.5443 0.1437 0.3443 1
```


The following is a PBE calculation of a geometry-optimized KNi2Pt structure, from Alexandria.

Properties
Energy, eV per atom: -3.9270
D(E_F), states/eV/cell: 8.1
ΔH_f (0 K), kJ per mole of atoms: 72

Structure (CIF):
```
data_KNi2Pt
_symmetry_space_group_name_H-M 'P m m m'
_symmetry_Int_Tables_number 47
_cell_length_a 2.710
_cell_length_b 4.758
_cell_length_c 5.126
_cell_angle_alpha 90.00
_cell_angle_beta 90.00
_cell_angle_gamma 90.00
loop_
_symmetry_equiv_pos_as_xyz
'x,y,z'
'-x,-y,-z'
'-x,-y,z'
'x,y,-z'
'x,-y,-z'
'-x,y,z'
'-x,y,-z'
'x,-y,z'
loop_
_atom_site_label
_atom_site_type_symbol
_atom_site_fract_x
_atom_site_fract_y
_atom_site_fract_z
_atom_site_occupancy
K1 K 0.000 0.000 0.000 1
Ni1 Ni 0.000 0.500 0.500 1
Ni2 Ni 0.500 0.500 0.000 1
Pt1 Pt 0.500 0.000 0.500 1
```


The following is a PBE calculation of a geometry-optimized BaAcPrTl structure, from Alexandria.

Properties
Energy, eV per atom: -3.2321
D(E_F), states/eV/cell: 22.4
ΔH_f (0 K), kJ per mole of atoms: 6

Structure (CIF):
```
data_BaAcPrTl
_symmetry_space_group_name_H-M 'F -4 3 m'
_symmetry_Int_Tables_number 216
_symmetry_space_group_name_Hall 'F -4 2 3'
_cell_length_a 8.521
_cell_length_b 8.521
_cell_length_c 8.521
_cell_angle_alpha 90.00
_cell_angle_beta 90.00
_cell_angle_gamma 90.00
loop_
_atom_site_label
_atom_site_type_symbol
_atom_site_fract_x
_atom_site_fract_y
_atom_site_fract_z
_atom_site_occupancy
Ba1 Ba 0.000 0.000 0.000 1
Ac1 Ac 0.250 0.250 0.250 1
Pr1 Pr 0.000 0.000 0.500 1
Tl1 Tl 0.250 0.250 0.750 1
```


The following is a PBE calculation of a geometry-optimized LiBe4In structure, from Alexandria.

Properties
Energy, eV per atom: -3.1643
D(E_F), states/eV/cell: 3.3
ΔH_f (0 K), kJ per mole of atoms: 9

Structure (CIF):
```
data_LiBe4In
_symmetry_space_group_name_H-M 'F -4 3 m'
_symmetry_Int_Tables_number 216
_symmetry_space_group_name_Hall 'F -4 2 3'
_cell_length_a 6.447
_cell_length_b 6.447
_cell_length_c 6.447
_cell_angle_alpha 90.00
_cell_angle_beta 90.00
_cell_angle_gamma 90.00
loop_
_atom_site_label
_atom_site_type_symbol
_atom_site_fract_x
_atom_site_fract_y
_atom_site_fract_z
_atom_site_occupancy
Li1 Li 0.000 0.000 0.000 1
Be1 Be 0.127 0.127 0.627 1
In1 In 0.250 0.250 0.250 1
```


The following is a PBE calculation of a geometry-optimized Sc2TaCl structure, from Alexandria.

Properties
Energy, eV per atom: -6.4166
D(E_F), states/eV/cell: 17.4

Structure (CIF):
```
data_Sc2TaCl
_symmetry_space_group_name_H-M 'I -4 2 d'
_symmetry_Int_Tables_number 122
_symmetry_space_group_name_Hall 'I -4 2bw'
_cell_length_a 7.827
_cell_length_b 7.827
_cell_length_c 5.333
_cell_angle_alpha 90.00
_cell_angle_beta 90.00
_cell_angle_gamma 90.00
loop_
_atom_site_label
_atom_site_type_symbol
_atom_site_fract_x
_atom_site_fract_y
_atom_site_fract_z
_atom_site_occupancy
Sc1 Sc 0.172 0.750 0.125 1
Ta1 Ta 0.000 0.000 0.500 1
Cl1 Cl 0.000 0.000 0.000 1
```


The following is a PBE calculation of a geometry-optimized Zr8Re structure, from Alexandria.

Properties
Energy, eV per atom: -8.8902
D(E_F), states/eV/cell: 26.9
ΔH_f (0 K), kJ per mole of atoms: 9

Structure (CIF):
```
data_Zr8Re
_symmetry_space_group_name_H-M 'I 4/m m m'
_symmetry_Int_Tables_number 139
_symmetry_space_group_name_Hall '-I 4 2'
_cell_length_a 8.894
_cell_length_b 8.894
_cell_length_c 5.043
_cell_angle_alpha 90.00
_cell_angle_beta 90.00
_cell_angle_gamma 90.00
loop_
_atom_site_label
_atom_site_type_symbol
_atom_site_fract_x
_atom_site_fract_y
_atom_site_fract_z
_atom_site_occupancy
Zr1 Zr 0.000 0.308 0.000 1
Zr2 Zr 0.163 0.163 0.500 1
Re1 Re 0.000 0.000 0.000 1
```


The following is a PBE calculation of a geometry-optimized CaAl2SnS structure, from Alexandria.

Properties
Energy, eV per atom: -3.2143
D(E_F), states/eV/cell: 1.2

Structure (CIF):
```
data_CaAl2SnS
_symmetry_space_group_name_H-M 'P 4/m m m'
_symmetry_Int_Tables_number 123
_symmetry_space_group_name_Hall '-P 4 2'
_cell_length_a 5.097
_cell_length_b 5.097
_cell_length_c 6.158
_cell_angle_alpha 90.00
_cell_angle_beta 90.00
_cell_angle_gamma 90.00
loop_
_atom_site_label
_atom_site_type_symbol
_atom_site_fract_x
_atom_site_fract_y
_atom_site_fract_z
_atom_site_occupancy
Ca1 Ca 0.000 0.000 0.000 1
Al1 Al 0.000 0.500 0.500 1
Sn1 Sn 0.000 0.000 0.500 1
S1 S 0.500 0.500 0.000 1
```


The following is a PBE calculation of a geometry-optimized ZnSb2RuI structure, from Alexandria.

Properties
Energy, eV per atom: -2.8616
D(E_F), states/eV/cell: 4.9

Structure (CIF):
```
data_ZnSb2RuI
_symmetry_space_group_name_H-M 'P 4/m m m'
_symmetry_Int_Tables_number 123
_symmetry_space_group_name_Hall '-P 4 2'
_cell_length_a 5.130
_cell_length_b 5.130
_cell_length_c 5.495
_cell_angle_alpha 90.00
_cell_angle_beta 90.00
_cell_angle_gamma 90.00
loop_
_atom_site_label
_atom_site_type_symbol
_atom_site_fract_x
_atom_site_fract_y
_atom_site_fract_z
_atom_site_occupancy
Zn1 Zn 0.000 0.000 0.000 1
Sb1 Sb 0.000 0.500 0.000 1
Ru1 Ru 0.500 0.500 0.500 1
I1 I 0.000 0.000 0.500 1
```